VASP calculation (GGA-PBE) on a geometry-optimized IrW2Au structure.

Values from the calculation:
ΔH_f (0 K) = 1.28 eV per formula unit
Fermi-level density of states = 5.025 states/eV/cell
Electronic total energy = -9.19 eV per atom
Density = 18533 kg/m³
Excess energy over the best structure of this formula in the dataset = 218 meV/atom

a = 2.787 Å, b = 4.662 Å, c = 10.437 Å
α = 90.00°, β = 90.00°, γ = 90.00°
Positions (direct):
Ir 0.000 0.000 0.000
Ir 0.500 0.500 0.500
W 0.000 0.000 0.442
W 0.000 0.500 0.707
W 0.500 0.000 0.207
W 0.500 0.500 0.942
Au 0.000 0.500 0.254
Au 0.500 0.000 0.754